1.
Below is crystalline MgCd2Cu at its relaxed geometry, with properties calculated at the PBE level.

Structure (POSCAR):
```
MgCd2Cu
1.0
3.062 0.000 0.000
0.000 4.468 0.000
-1.477 0.000 5.608
Mg Cd Cu
1 2 1
direct
0.000 0.000 0.000
0.277 0.000 0.546
0.656 0.500 0.306
0.416 0.500 0.819
```

Values from the calculation:
* symmetry: Pm (6)
* crystal system: monoclinic
* total moment: 0.0 Bohr magnetons per cell
* formation energy from the elements: 2.2 meV/atom

***

2.
Below is crystalline ZnHgSb2F at its relaxed geometry, with properties calculated at the PBE level.

Structure (POSCAR):
```
ZnHgSb2F
1.0
5.189 0.000 0.000
0.000 5.189 0.000
0.000 0.000 5.103
Zn Hg Sb F
1 1 2 1
direct
0.000 0.000 0.000
0.000 0.000 0.500
0.000 0.500 0.000
0.500 0.000 0.000
0.500 0.500 0.500
```

Values from the calculation:
* symmetry: P4/mmm (123)
* crystal system: tetragonal
* formation energy from raw total energies: 166 meV/atom
* total moment: 0.0 Bohr magnetons per cell

***

Which value of total moment does entry 2 give? 0.0 Bohr magnetons per cell